! AcNdYEr2 PBE optimized geometry; values from VASP
&SYSTEM
  ibrav = 0, nat = 10, ntyp = 4
/
ATOMIC_SPECIES
Ac 227.00 Ac.upf
Nd 144.24 Nd.upf
Y 88.91 Y.upf
Er 167.26 Er.upf
CELL_PARAMETERS angstrom
-1.172 6.339 0.092
-5.795 -1.030 -2.822
-0.803 -0.283 9.300
ATOMIC_POSITIONS crystal
Ac 0.250 0.658 0.315
Ac 0.750 0.342 0.685
Nd 0.250 0.848 0.695
Nd 0.750 0.152 0.305
Y 0.750 0.770 0.540
Y 0.250 0.230 0.460
Er 0.500 0.245 0.000
Er 0.000 0.755 0.000
Er 0.500 0.755 0.000
Er 0.000 0.245 0.000
! V: 184 Å³/f.u.
! Fermi-level density of states: 17.30 states/eV/cell
! E_tot: -4.52 eV per atom